1.
Here is a relaxed Sr2Tc2O7 crystal from Alexandria via LeMat-Bulk. Energies are from PBE.

extended XYZ file:
```
11
Lattice="3.3084 -5.3125 0.0000 3.3084 5.3125 0.0000 -1.0894 0.0000 5.4963" Properties=species:S:1:pos:R:3 pbc="T T T"
Sr 3.3084 3.3700 0.0000
Sr 3.3084 -3.3700 0.0000
Tc 1.0030 0.0000 3.3363
Tc 4.5244 0.0000 2.1600
O 0.1183 0.0000 1.6525
O 1.0656 1.5600 4.3007
O 1.0656 -1.5600 4.3007
O 2.7637 0.0000 2.7482
O 4.4618 1.5600 1.1956
O 4.4618 -1.5600 1.1956
O 5.4091 0.0000 3.8438
```

Computed properties:
formation energy (no corrections): -2.0045 eV/atom

***

2.
Here is a relaxed Li3Sn2Br7 crystal from Alexandria via LeMat-Bulk. Energies are from PBE.

extended XYZ file:
```
24
Lattice="13.0196 -3.6976 0.0000 13.0196 3.6976 0.0000 0.0000 0.0000 7.3813" Properties=species:S:1:pos:R:3 pbc="T T T"
Li 7.5549 1.4075 3.4887
Li 13.0196 2.0253 3.6907
Li 7.5549 -1.4075 7.1793
Li 18.4844 1.4075 3.4887
Li 13.0196 -2.0253 0.0000
Li 18.4844 -1.4075 7.1793
Sn 10.3195 1.9595 0.0398
Sn 15.7198 1.9595 0.0398
Sn 10.3195 -1.9595 3.7305
Sn 15.7198 -1.9595 3.7305
Br 3.9541 0.8084 1.3180
Br 13.0196 3.0644 6.0929
Br 7.6110 0.9908 0.7953
Br 3.9541 -0.8084 5.0087
Br 11.0580 0.6494 2.6979
Br 7.6110 -0.9908 4.4860
Br 14.9813 0.6494 2.6979
Br 11.0580 -0.6494 6.3886
Br 18.4283 0.9908 0.7953
Br 14.9813 -0.6494 6.3886
Br 22.0852 0.8084 1.3180
Br 18.4283 -0.9908 4.4860
Br 13.0196 -3.0644 2.4022
Br 22.0852 -0.8084 5.0087
```

Computed properties:
formation energy (no corrections): -1.1128 eV/atom

***

3.
Here is a relaxed Ac8InPb2 crystal from Alexandria via LeMat-Bulk. Energies are from PBE.

extended XYZ file:
```
11
Lattice="10.6453 -2.8508 0.0000 10.6453 2.8508 0.0000 -1.6592 0.0000 7.3982" Properties=species:S:1:pos:R:3 pbc="T T T"
Ac -0.0269 0.0000 1.9931
Ac 3.0922 0.0000 6.1444
Ac 6.4355 0.0000 3.7328
Ac 8.6697 0.0000 0.2363
Ac 10.9617 0.0000 7.1620
Ac 13.1959 0.0000 3.6654
Ac 16.5392 0.0000 1.2538
Ac 19.6583 0.0000 5.4051
In 9.8157 0.0000 3.6991
Pb 3.4579 0.0000 1.9564
Pb 16.1735 0.0000 5.4418
```

Computed properties:
ΔH_f (0 K): -0.2283 eV/atom